First-principles (PBE) data for HfCuSiAu after structural relaxation, as listed in OQMD via LeMat-Bulk.

Output
The space group is F-43m (216). The crystal system is cubic. For the total energy, the calculation gives -5.663 eV/atom. The distance to the lowest polymorph of the same formula comes out at 126 meV per atom.

Cell: 6.413 6.413 6.413 Å, 90.00 90.00 90.00°
Fractional positions:
Hf (0.000, 0.000, 0.000)
Hf (0.000, 0.500, 0.500)
Hf (0.500, 0.000, 0.500)
Hf (0.500, 0.500, 0.000)
Cu (0.250, 0.250, 0.750)
Cu (0.250, 0.750, 0.250)
Cu (0.750, 0.250, 0.250)
Cu (0.750, 0.750, 0.750)
Si (0.000, 0.000, 0.500)
Si (0.000, 0.500, 0.000)
Si (0.500, 0.000, 0.000)
Si (0.500, 0.500, 0.500)
Au (0.250, 0.250, 0.250)
Au (0.250, 0.750, 0.750)
Au (0.750, 0.250, 0.750)
Au (0.750, 0.750, 0.250)